1.
The following is a GGA-PBE calculation of crystalline PuBi2PdO at its relaxed geometry, from Alexandria.

Cell lengths 3.915, 3.915, 15.730 Å; angles 90.00, 90.00, 90.00 degrees
Last column: magnetic moment on the atom in μB.
Positions (direct):
Bi 0.500 0.000 0.928  0.00
Bi 0.000 0.500 0.072  0.00
Bi 0.500 0.000 0.286  -0.03
Bi 0.000 0.500 0.714  -0.03
Pu 0.500 0.000 0.575  4.99
Pu 0.000 0.500 0.425  4.99
O 0.500 0.500 0.500  -0.14
O 0.000 0.000 0.500  -0.14
Pd 0.500 0.000 0.111  0.00
Pd 0.000 0.500 0.889  0.00

Computed properties:
Total DFT energy (no corrections) = -7.611 eV per atom
E_form (uncorrected) = -1.162 eV per atom
Size of the total moment = 9.96 Bohr magnetons per cell

***

2.
The following is a GGA-PBE calculation of crystalline Ca6Ge2N at its relaxed geometry, from Alexandria.

Cell lengths 6.841, 7.158, 9.753 Å; angles 90.00, 90.41, 90.00 degrees
Positions (direct):
N 0.500 0.500 0.000
N 0.000 0.000 0.500
Ge 0.983 0.440 0.749
Ge 0.483 0.060 0.249
Ge 0.017 0.560 0.251
Ge 0.517 0.940 0.751
Ca 0.317 0.784 0.041
Ca 0.214 0.315 0.042
Ca 0.786 0.685 0.958
Ca 0.714 0.185 0.542
Ca 0.286 0.815 0.458
Ca 0.920 0.980 0.262
Ca 0.683 0.216 0.959
Ca 0.817 0.716 0.541
Ca 0.420 0.520 0.762
Ca 0.183 0.284 0.459
Ca 0.580 0.480 0.238
Ca 0.080 0.020 0.738

Computed properties:
Total DFT energy (no corrections) = -3.950 eV per atom
E_form (uncorrected) = -0.664 eV per atom
Size of the total moment = 1.90 Bohr magnetons per cell

***

3.
The following is a GGA-PBE calculation of crystalline Ho4AsC at its relaxed geometry, from Alexandria.

Cell lengths 6.408, 6.793, 8.260 Å; angles 107.02, 105.20, 107.80 degrees
Positions (direct):
Ho 0.439 0.724 0.890
Ho 0.711 0.001 0.379
Ho 0.289 0.999 0.621
Ho 0.832 0.622 0.621
Ho 0.049 0.834 0.110
Ho 0.168 0.378 0.379
Ho 0.561 0.276 0.110
Ho 0.951 0.166 0.890
As 0.668 0.418 0.835
As 0.332 0.582 0.165
C 0.186 0.936 0.871
C 0.814 0.064 0.129

Computed properties:
ΔH_f (0 K) = -563.8 meV/atom
Total DFT energy (no corrections) = -5.928 eV per atom
Size of the total moment = 0.01 Bohr magnetons per cell

***

4.
The following is a GGA-PBE calculation of crystalline TcHPt2 at its relaxed geometry, from Alexandria.

Cell lengths 6.209, 6.209, 5.123 Å; angles 52.70, 52.70, 90.00 degrees
Last column: magnetic moment on the atom in μB.
Positions (direct):
Pt 0.526 0.125 0.250  0.16
Pt 0.875 0.776 0.750  0.15
Pt 0.224 0.625 0.250  0.15
Pt 0.375 0.474 0.750  0.16
H 0.500 0.500 0.000  0.00
H 0.250 0.750 0.500  0.00
Tc 0.750 0.250 0.500  1.14
Tc 0.000 0.000 0.000  1.12

Computed properties:
Total DFT energy (no corrections) = -6.151 eV per atom
Size of the total moment = 3.10 Bohr magnetons per cell

***

5.
The following is a GGA-PBE calculation of crystalline K2NpAsS4 at its relaxed geometry, from Alexandria.

Cell lengths 8.297, 8.297, 8.291 Å; angles 119.97, 119.97, 89.53 degrees
Last column: magnetic moment on the atom in μB.
Positions (direct):
As 0.500 0.500 0.500  0.06
As 0.000 0.000 0.000  0.06
S 0.235 0.265 0.459  -0.03
S 0.199 0.740 0.969  -0.06
S 0.765 0.735 0.959  -0.03
S 0.765 0.735 0.541  -0.03
S 0.240 0.699 0.469  -0.06
S 0.235 0.265 0.041  -0.03
S 0.801 0.260 0.031  -0.06
S 0.760 0.301 0.531  -0.06
Np 0.000 0.500 0.500  3.75
Np 0.000 0.500 0.000  3.75
K 0.500 0.000 0.000  0.00
K 0.000 0.000 0.500  0.00
K 0.500 0.000 0.500  0.00
K 0.500 0.500 0.000  0.00

Computed properties:
Total DFT energy (no corrections) = -5.444 eV per atom
E_form (uncorrected) = -0.907 eV per atom
Size of the total moment = 7.66 Bohr magnetons per cell

***

6.
The following is a GGA-PBE calculation of crystalline Sc2BiAsF at its relaxed geometry, from Alexandria.

Cell lengths 5.515, 4.420, 5.515 Å; angles 90.00, 90.00, 90.00 degrees
Positions (direct):
Sc 0.500 0.000 0.000
Sc 0.000 0.000 0.500
As 0.500 0.500 0.500
F 0.000 0.500 0.000
Bi 0.000 0.000 0.000

Computed properties:
Total DFT energy (no corrections) = -5.017 eV per atom
E_form (uncorrected) = -0.404 eV per atom
Size of the total moment = 0.00 Bohr magnetons per cell

***

7.
The following is a GGA-PBE calculation of crystalline SrGdHo at its relaxed geometry, from Alexandria.

Cell lengths 3.751, 3.751, 8.416 Å; angles 102.88, 102.88, 90.00 degrees
Last column: magnetic moment on the atom in μB.
Positions (direct):
Sr 0.998 0.998 0.996  -0.01
Ho 0.320 0.320 0.639  0.05
Gd 0.682 0.682 0.365  7.26

Computed properties:
ΔH_f (0 K) = 126.6 meV/atom
Total DFT energy (no corrections) = -6.654 eV per atom
Size of the total moment = 7.60 Bohr magnetons per cell

***

8.
The following is a GGA-PBE calculation of crystalline SrTaNi2 at its relaxed geometry, from Alexandria.

Cell lengths 3.273, 3.265, 7.223 Å; angles 90.00, 90.00, 90.00 degrees
Last column: magnetic moment on the atom in μB.
Positions (direct):
Ni 0.000 0.000 0.004  0.10
Ni 0.500 0.500 0.176  0.00
Sr 0.000 0.000 0.469  0.01
Ta 0.500 0.500 0.851  0.17

Computed properties:
ΔH_f (0 K) = 326.6 meV/atom
Total DFT energy (no corrections) = -5.948 eV per atom
Size of the total moment = 0.39 Bohr magnetons per cell

***

9.
The following is a GGA-PBE calculation of crystalline YTlF3 at its relaxed geometry, from Alexandria.

Cell lengths 4.544, 4.544, 4.544 Å; angles 90.00, 90.00, 90.00 degrees
Positions (direct):
F 0.500 0.000 0.000
F 0.000 0.000 0.500
F 0.000 0.500 0.000
Tl 0.500 0.500 0.500
Y 0.000 0.000 0.000

Computed properties:
Total DFT energy (no corrections) = -5.773 eV per atom
E_form (uncorrected) = -2.884 eV per atom
Size of the total moment = 0.00 Bohr magnetons per cell

***

10.
The following is a GGA-PBE calculation of crystalline Ga3SnB4O12 at its relaxed geometry, from Alexandria.

Cell lengths 6.070, 6.070, 6.070 Å; angles 104.14, 104.14, 104.14 degrees
Positions (direct):
B 0.051 0.500 0.949
B 0.500 0.500 0.500
B 0.949 0.051 0.500
B 0.500 0.949 0.051
O 0.355 0.645 0.500
O 0.632 0.792 0.032
O 0.907 0.500 0.093
O 0.093 0.907 0.500
O 0.645 0.500 0.355
O 0.500 0.355 0.645
O 0.032 0.632 0.792
O 0.792 0.032 0.632
O 0.968 0.208 0.368
O 0.500 0.093 0.907
O 0.208 0.368 0.968
O 0.368 0.968 0.208
Sn 0.000 0.000 0.000
Ga 0.551 0.449 0.000
Ga 0.449 0.000 0.551
Ga 0.000 0.551 0.449

Computed properties:
Total DFT energy (no corrections) = -6.983 eV per atom
E_form (uncorrected) = -2.019 eV per atom
Size of the total moment = 0.00 Bohr magnetons per cell